(1)
## ZrTaPb2O6 (PBE-GGA)

Data for a relaxed ZrTaPb2O6 crystal.

Summary:
Volume ... 14.43 Å³ per atom
Total moment ... 0.00 μB/f.u.
Uncorrected energy ... -8.006 eV/atom

Lattice parameters (Å, degrees): 5.1192 5.1622 5.9961 102.33 101.83 104.30
Positions (direct):
O  0.1830  0.1838  0.7619
O  0.6573  0.6573  0.7577
O  0.8170  0.8162  0.2381
O  0.2573  0.7436  0.0017
O  0.3427  0.3427  0.2423
O  0.7427  0.2564  0.9983
Ta  0.5000  0.5000  0.0000
Pb  0.7476  0.2528  0.5012
Pb  0.2524  0.7472  0.4988
Zr  0.0000  0.0000  0.0000

(2)
## KMgNbS3 (PBE-GGA)

Data for a relaxed KMgNbS3 crystal.

Summary:
Volume ... 23.27 Å³ per atom
Total moment ... 0.00 μB/f.u.
Uncorrected energy ... -5.352 eV/atom
Energy above the most stable polymorph in this dataset ... 0.00 eV/f.u.

Lattice parameters (Å, degrees): 7.7170 3.6783 10.3275 90.00 107.70 90.00
Positions (direct):
S  0.7688  0.7500  0.6570
S  0.2037  0.7500  0.6350
S  0.1906  0.2500  0.9480
S  0.2312  0.2500  0.3430
S  0.7963  0.2500  0.3650
S  0.8094  0.7500  0.0520
Nb  0.0262  0.7500  0.3953
Nb  0.9738  0.2500  0.6047
Mg  0.0151  0.2500  0.1197
Mg  0.9849  0.7500  0.8803
K  0.4686  0.7500  0.2015
K  0.5314  0.2500  0.7985

(3)
## CoHgBiOs (PBE-GGA)

Data for a relaxed CoHgBiOs crystal.

Summary:
Volume ... 17.79 Å³ per atom
Total moment ... 0.84 μB/f.u.
Uncorrected energy ... -4.831 eV/atom
Energy above the most stable polymorph in this dataset ... 0.00 eV/f.u.

Lattice parameters (Å, degrees): 4.6517 4.6517 4.6517 60.00 60.00 60.00
Positions (direct):
Os  0.2500  0.2500  0.2500
Hg  0.5000  0.5000  0.5000
Co  0.7500  0.7500  0.7500
Bi  0.0000  0.0000  0.0000

(4)
## BeAgOs (PBE-GGA)

Data for a relaxed BeAgOs crystal.

Summary:
Volume ... 14.08 Å³ per atom
Total moment ... 0.07 μB/f.u.
Uncorrected energy ... -5.202 eV/atom
Energy above the most stable polymorph in this dataset ... 0.00 eV/f.u.

Lattice parameters (Å, degrees): 3.9093 3.9093 3.9093 60.00 60.00 60.00
Positions (direct):
Os  0.7500  0.7500  0.7500
Be  0.0000  0.0000  0.0000
Ag  0.2500  0.2500  0.2500

> The highest volume belongs to which entry?

KMgNbS3